1.
VASP calculation (PBE) on a relaxed structure of GeTeIBr2.

Calculated values
Total magnetization   0.00 μB/atom
Formation energy (no corrections)   0.00 eV per atom

Unit cell a=5.0849 b=5.0849 c=6.1679 alpha=90.00 beta=90.00 gamma=90.00
Closest atoms and distances in Å follow each position.
Space group P4/mmm (No. 123)
Symmetry-distinct sites (fractional):
Ge  0.0000  0.0000  0.0000 (multiplicity 1)  4 Br 2.54
Te  0.0000  0.0000  0.5000 (multiplicity 1)  2 Ge 3.08
I  0.5000  0.5000  0.5000 (multiplicity 1)  4 Te 3.60, 8 Br 4.00
Br  0.0000  0.5000  0.0000 (multiplicity 2)  2 Ge 2.54

***

2.
VASP calculation (PBE) on a relaxed structure of TiGeIBr2.

Calculated values
Total magnetization   0.59 μB/atom
Formation energy (no corrections)   0.21 eV per atom

Unit cell a=5.3272 b=5.3272 c=5.9847 alpha=90.00 beta=90.00 gamma=90.00
Closest atoms and distances in Å follow each position.
Space group P4/mmm (No. 123)
Symmetry-distinct sites (fractional):
Ti  0.0000  0.0000  0.0000 (multiplicity 1)  4 I 3.77, 8 Br 4.01
Ge  0.5000  0.5000  0.5000 (multiplicity 1)  4 Br 2.66
I  0.5000  0.5000  0.0000 (multiplicity 1)  2 Ge 2.99
Br  0.0000  0.5000  0.5000 (multiplicity 2)  2 Ge 2.66

***

3.
VASP calculation (PBE) on a relaxed structure of TlGeI2Br.

Calculated values
Total magnetization   0.00 μB/atom
Relative energy among the computed polymorphs   0.0301 eV per atom
Formation energy (no corrections)   -0.47 eV per atom

Unit cell a=5.9260 b=5.9260 c=5.4607 alpha=90.00 beta=90.00 gamma=90.00
Closest atoms and distances in Å follow each position.
Space group P4/mmm (No. 123)
Symmetry-distinct sites (fractional):
Tl  0.0000  0.0000  0.0000 (multiplicity 1)  8 I 4.03, 4 Br 4.19
Ge  0.5000  0.5000  0.5000 (multiplicity 1)  2 Br 2.73, 4 I 2.96
I  0.0000  0.5000  0.5000 (multiplicity 2)  2 Ge 2.96
Br  0.5000  0.5000  0.0000 (multiplicity 1)  2 Ge 2.73

***

4.
VASP calculation (PBE) on a relaxed structure of Tl2GeI2Br2.

Calculated values
Total magnetization   0.00 μB/atom
Formation energy (no corrections)   -0.61 eV per atom

Unit cell a=16.7087 b=4.4201 c=8.3542 alpha=90.00 beta=119.15 gamma=90.00
Closest atoms and distances in Å follow each position.
Space group C2/m (No. 12)
Symmetry-distinct sites (fractional):
Tl  0.1512  0.0000  0.0940 (multiplicity 4)  3 Br 3.21-3.27
Ge  0.0000  0.0000  0.5000 (multiplicity 2)  2 Br 2.81, 4 I 3.06
I  0.0244  0.5000  0.2744 (multiplicity 4)  2 Ge 3.06
Br  0.1894  0.0000  0.7453 (multiplicity 4)  1 Ge 2.81

***

5.
VASP calculation (PBE) on a relaxed structure of TlGeI2Br.

Calculated values
Total magnetization   0.00 μB/atom
Relative energy among the computed polymorphs   0.0000 eV per atom
Formation energy (no corrections)   -0.50 eV per atom

Unit cell a=8.2549 b=8.2549 c=11.4390 alpha=90.00 beta=90.00 gamma=90.00
Closest atoms and distances in Å follow each position.
Space group I4cm (No. 108)
Symmetry-distinct sites (fractional):
Tl  0.0000  0.5000  0.0000 (multiplicity 4)  4 I 3.61
Ge  0.0000  0.0000  0.2284 (multiplicity 4)  1 Br 2.52
I  0.1887  0.3113  0.2498 (multiplicity 8)  2 Ge 3.02
Br  0.0000  0.0000  0.0080 (multiplicity 4)  1 Ge 2.52

***

6.
VASP calculation (PBE) on a relaxed structure of InGe2Br8.

Calculated values
Total magnetization   0.00 μB/atom
Formation energy (no corrections)   -0.54 eV per atom

Unit cell a=11.4716 b=11.0671 c=7.6847 alpha=90.00 beta=112.42 gamma=90.00
Closest atoms and distances in Å follow each position.
Space group C2/m (No. 12)
Symmetry-distinct sites (fractional):
In  0.0000  0.0000  0.0000 (multiplicity 2)  6 Br 2.60-2.81
Ge  0.1405  0.0000  0.6384 (multiplicity 4)  3 Br 2.39-2.56
Br  0.0920  0.1744  0.8198 (multiplicity 8)  1 Ge 2.56, 1 In 2.81
Br  0.1356  0.5000  0.1982 (multiplicity 4)  1 Ge 2.39
Br  0.2098  0.0000  0.2946 (multiplicity 4)  1 In 2.60

***

7.
VASP calculation (PBE) on a relaxed structure of InGe2Br.

Calculated values
Total magnetization   0.00 μB/atom
Relative energy among the computed polymorphs   0.0000 eV per atom
Formation energy (no corrections)   0.31 eV per atom

Unit cell a=7.1995 b=7.1995 c=7.1995 alpha=90.00 beta=90.00 gamma=90.00
Closest atoms and distances in Å follow each position.
Space group Fm-3m (No. 225)
Symmetry-distinct sites (fractional):
In  0.0000  0.0000  0.0000 (multiplicity 4)  8 Ge 3.12
Ge  0.2500  0.2500  0.2500 (multiplicity 8)  4 Br 3.12, 4 In 3.12
Br  0.0000  0.0000  0.5000 (multiplicity 4)  8 Ge 3.12

***

8.
VASP calculation (PBE) on a relaxed structure of InGeBr.

Calculated values
Total magnetization   0.00 μB/atom
Relative energy among the computed polymorphs   0.1510 eV per atom
Formation energy (no corrections)   -0.19 eV per atom

Unit cell a=4.4030 b=6.4571 c=6.9716 alpha=99.44 beta=107.88 gamma=103.93
Closest atoms and distances in Å follow each position.
Space group P1 (No. 1)
Symmetry-distinct sites (fractional):
In  0.0000  0.0000  0.0000 (multiplicity 1)  2 Ge 2.78-2.81, 1 Br 2.84, 1 In 2.92
In  0.0138  0.5569  0.8354 (multiplicity 1)  1 Ge 2.70, 1 In 2.92, 2 Br 3.00
Ge  0.1278  0.1214  0.4304 (multiplicity 1)  2 Ge 2.58-2.61, 1 Br 2.63, 1 In 2.81
Ge  0.7258  0.1235  0.6380 (multiplicity 1)  2 Ge 2.58-2.61, 2 In 2.70-2.78
Br  0.3214  0.5546  0.5063 (multiplicity 1)  1 Ge 2.63
Br  0.5436  0.3807  0.0725 (multiplicity 1)  3 In 2.84-3.15

***

9.
VASP calculation (PBE) on a relaxed structure of InGe3Br.

Calculated values
Total magnetization   0.00 μB/atom
Relative energy among the computed polymorphs   0.0000 eV per atom
Formation energy (no corrections)   0.79 eV per atom

Unit cell a=5.4127 b=5.4127 c=5.4127 alpha=90.00 beta=90.00 gamma=90.00
Closest atoms and distances in Å follow each position.
Space group Pm-3m (No. 221)
Symmetry-distinct sites (fractional):
In  0.0000  0.0000  0.0000 (multiplicity 1)  6 Ge 2.71
Ge  0.0000  0.0000  0.5000 (multiplicity 3)  2 In 2.71
Br  0.5000  0.5000  0.5000 (multiplicity 1)  12 Ge 3.83

***

10.
VASP calculation (PBE) on a relaxed structure of InGeBr2.

Calculated values
Total magnetization   0.00 μB/atom
Relative energy among the computed polymorphs   0.0195 eV per atom
Formation energy (no corrections)   -0.07 eV per atom

Unit cell a=7.5524 b=7.5524 c=7.5524 alpha=90.00 beta=90.00 gamma=90.00
Closest atoms and distances in Å follow each position.
Space group Fm-3m (No. 225)
Symmetry-distinct sites (fractional):
In  0.0000  0.0000  0.0000 (multiplicity 4)  8 Br 3.27
Ge  0.0000  0.0000  0.5000 (multiplicity 4)  8 Br 3.27
Br  0.2500  0.2500  0.2500 (multiplicity 8)  4 Ge 3.27, 4 In 3.27

***

11.
VASP calculation (PBE) on a relaxed structure of InGeBr2.

Calculated values
Total magnetization   0.21 μB/atom
Relative energy among the computed polymorphs   0.0000 eV per atom
Formation energy (no corrections)   -0.09 eV per atom

Unit cell a=5.9244 b=5.9244 c=17.4250 alpha=90.00 beta=90.00 gamma=90.00
Closest atoms and distances in Å follow each position.
Space group I-42d (No. 122)
Symmetry-distinct sites (fractional):
In  0.0000  0.0000  0.0000 (multiplicity 4)  4 Br 3.20
Ge  0.0000  0.0000  0.5000 (multiplicity 4)  4 Br 2.87
Br  0.1920  0.2500  0.6250 (multiplicity 8)  2 Ge 2.87, 2 In 3.20

***

12.
VASP calculation (PBE) on a relaxed structure of InGeBr4.

Calculated values
Total magnetization   0.00 μB/atom
Formation energy (no corrections)   -0.56 eV per atom

Unit cell a=8.3608 b=7.5157 c=7.4141 alpha=90.00 beta=90.00 gamma=90.00
Closest atoms and distances in Å follow each position.
Space group Pmn2_1 (No. 31)
Symmetry-distinct sites (fractional):
In  0.0000  0.0115  0.0000 (multiplicity 2)  4 Br 2.76-3.09
Ge  0.0000  0.6174  0.3929 (multiplicity 2)  4 Br 2.53-2.65
Br  0.0000  0.3101  0.2166 (multiplicity 2)  1 Ge 2.65, 1 In 2.76
Br  0.0000  0.7818  0.7071 (multiplicity 2)  1 Ge 2.64, 1 In 2.77
Br  0.2246  0.7802  0.2332 (multiplicity 4)  1 Ge 2.53

***

13.
VASP calculation (PBE) on a relaxed structure of In2GeBr6.

Calculated values
Total magnetization   0.00 μB/atom
Formation energy (no corrections)   -0.60 eV per atom

Unit cell a=14.6301 b=13.5468 c=9.6473 alpha=90.00 beta=119.10 gamma=90.00
Closest atoms and distances in Å follow each position.
Space group C2/c (No. 15)
Symmetry-distinct sites (fractional):
In  0.1791  0.0834  0.2686 (multiplicity 8)  4 Br 2.70-2.85
Ge  0.0000  0.4047  0.2500 (multiplicity 4)  2 Br 2.55
Br  0.1106  0.4036  0.5904 (multiplicity 8)  1 In 2.70, 1 Ge 2.87
Br  0.1325  0.0066  0.9781 (multiplicity 8)  2 In 2.72-2.75
Br  0.1321  0.2888  0.2344 (multiplicity 8)  1 Ge 2.55, 1 In 2.85

***

14.
VASP calculation (PBE) on a relaxed structure of In3GeBr.

Calculated values
Total magnetization   0.00 μB/atom
Relative energy among the computed polymorphs   0.0000 eV per atom
Formation energy (no corrections)   0.08 eV per atom

Unit cell a=5.5990 b=5.5990 c=5.5990 alpha=90.00 beta=90.00 gamma=90.00
Closest atoms and distances in Å follow each position.
Space group Pm-3m (No. 221)
Symmetry-distinct sites (fractional):
In  0.0000  0.0000  0.5000 (multiplicity 3)  2 Ge 2.80
Ge  0.0000  0.0000  0.0000 (multiplicity 1)  6 In 2.80
Br  0.5000  0.5000  0.5000 (multiplicity 1)  12 In 3.96

***

15.
VASP calculation (PBE) on a relaxed structure of InGeBr.

Calculated values
Total magnetization   0.00 μB/atom
Relative energy among the computed polymorphs   0.1113 eV per atom
Formation energy (no corrections)   -0.23 eV per atom

Unit cell a=12.6060 b=4.2815 c=6.7427 alpha=90.00 beta=97.02 gamma=90.00
Closest atoms and distances in Å follow each position.
Space group Cm (No. 8)
Symmetry-distinct sites (fractional):
In  0.0000  0.0000  0.0000 (multiplicity 2)  1 Ge 2.79, 1 In 3.07
In  0.0796  0.0000  0.4486 (multiplicity 2)  2 Ge 2.71-2.75
Ge  0.2992  0.0000  0.4828 (multiplicity 2)  1 Br 2.54, 2 Ge 2.55, 1 In 2.75
Ge  0.3939  0.5000  0.6117 (multiplicity 2)  2 Ge 2.55, 2 In 2.71-2.79
Br  0.1256  0.5000  0.7773 (multiplicity 2)  4 In 3.09-3.15
Br  0.3283  0.0000  0.1164 (multiplicity 2)  1 Ge 2.54

***

16.
VASP calculation (PBE) on a relaxed structure of In2GeBr4.

Calculated values
Total magnetization   0.00 μB/atom
Relative energy among the computed polymorphs   0.0199 eV per atom
Formation energy (no corrections)   -0.58 eV per atom

Unit cell a=5.5124 b=5.5124 c=16.3521 alpha=90.00 beta=90.00 gamma=90.00
Closest atoms and distances in Å follow each position.
Space group I4/mmm (No. 139)
Symmetry-distinct sites (fractional):
In  0.0000  0.0000  0.1410 (multiplicity 4)  1 Br 3.07
Ge  0.0000  0.0000  0.5000 (multiplicity 2)  6 Br 2.76-2.80
Br  0.0000  0.0000  0.3286 (multiplicity 4)  1 Ge 2.80, 1 In 3.07
Br  0.0000  0.5000  0.0000 (multiplicity 4)  2 Ge 2.76

***

17.
VASP calculation (PBE) on a relaxed structure of In2GeBr4.

Calculated values
Total magnetization   0.00 μB/atom
Relative energy among the computed polymorphs   0.0069 eV per atom
Formation energy (no corrections)   -0.59 eV per atom

Unit cell a=13.6542 b=4.2543 c=9.2232 alpha=90.00 beta=120.71 gamma=90.00
Closest atoms and distances in Å follow each position.
Space group C2/m (No. 12)
Symmetry-distinct sites (fractional):
In  0.1663  0.0000  0.1514 (multiplicity 4)  5 Br 3.21-3.36
Ge  0.0000  0.5000  0.5000 (multiplicity 2)  6 Br 2.83-2.86
Br  0.0955  0.5000  0.8534 (multiplicity 4)  1 Ge 2.83
Br  0.1535  0.0000  0.5471 (multiplicity 4)  2 Ge 2.86

***

18.
VASP calculation (PBE) on a relaxed structure of In2GeBr5.

Calculated values
Total magnetization   0.00 μB/atom
Formation energy (no corrections)   -0.53 eV per atom

Unit cell a=7.5786 b=7.5786 c=10.9862 alpha=90.00 beta=90.00 gamma=90.00
Closest atoms and distances in Å follow each position.
Space group I4mm (No. 107)
Symmetry-distinct sites (fractional):
In  0.0000  0.5000  0.0000 (multiplicity 4)  4 Br 3.23
Ge  0.0000  0.0000  0.2974 (multiplicity 2)  5 Br 2.42-2.64
Br  0.0000  0.0000  0.0767 (multiplicity 2)  1 Ge 2.42
Br  0.2435  0.2435  0.3361 (multiplicity 8)  1 Ge 2.64

***

19.
VASP calculation (PBE) on a relaxed structure of InGeBr.

Calculated values
Total magnetization   0.00 μB/atom
Relative energy among the computed polymorphs   0.0000 eV per atom
Formation energy (no corrections)   -0.34 eV per atom

Unit cell a=4.2786 b=7.5041 c=10.5245 alpha=90.00 beta=90.00 gamma=90.00
Closest atoms and distances in Å follow each position.
Space group Imma (No. 74)
Symmetry-distinct sites (fractional):
In  0.0000  0.0000  0.0000 (multiplicity 4)  2 Ge 2.71
Ge  0.0000  0.2500  0.1855 (multiplicity 4)  2 Ge 2.53, 2 In 2.71
Br  0.0000  0.2500  0.6091 (multiplicity 4)  4 In 3.07

***

20.
VASP calculation (PBE) on a relaxed structure of InGeBr.

Calculated values
Total magnetization   0.00 μB/atom
Relative energy among the computed polymorphs   0.1261 eV per atom
Formation energy (no corrections)   -0.22 eV per atom

Unit cell a=4.1848 b=5.5262 c=7.9486 alpha=86.95 beta=74.76 gamma=89.94
Closest atoms and distances in Å follow each position.
Space group P1 (No. 1)
Symmetry-distinct sites (fractional):
In  0.0000  0.0000  0.0000 (multiplicity 1)  2 Ge 3.05-3.09, 2 Br 3.30-3.33
In  0.1703  0.5028  0.6482 (multiplicity 1)  2 Ge 2.78-2.80, 2 Br 3.03
Ge  0.1950  0.0053  0.5966 (multiplicity 1)  2 Ge 2.59, 2 In 2.78-2.80
Ge  0.7952  0.0196  0.3964 (multiplicity 1)  2 Ge 2.59, 2 Br 2.75-2.83
Br  0.5271  0.4614  0.9340 (multiplicity 1)  4 In 3.03-3.33
Br  0.8216  0.5167  0.3441 (multiplicity 1)  2 Ge 2.75-2.83